(1)
Material: NaGdDyCd
Method: DFT, PBE-GGA
State: relaxed

Results
space-group type = F-43m
energy of formation from the pure elements = 0.0205 eV per atom
total magnetic moment = 31.984 μB per cell
calculated total energy = -83.341 eV/cell
Fermi-level density of states = 19.109 states/eV per cell

Cell: 7.658 7.658 7.658 Å, 90.00 90.00 90.00°
Element x y z (fractional)
Na 0.000 0.000 0.000
Na 0.000 0.500 0.500
Na 0.500 0.000 0.500
Na 0.500 0.500 0.000
Gd 0.250 0.250 0.750
Gd 0.250 0.750 0.250
Gd 0.750 0.250 0.250
Gd 0.750 0.750 0.750
Dy 0.250 0.250 0.250
Dy 0.250 0.750 0.750
Dy 0.750 0.250 0.750
Dy 0.750 0.750 0.250
Cd 0.000 0.000 0.500
Cd 0.000 0.500 0.000
Cd 0.500 0.000 0.000
Cd 0.500 0.500 0.500

=====

(2)
Material: DyCuHgAu
Method: DFT, PBE-GGA
State: relaxed

Results
space-group type = F-43m
energy of formation from the pure elements = -0.3770 eV per atom
total magnetic moment = 0.000 μB per cell
calculated total energy = -55.142 eV/cell
Fermi-level density of states = 12.372 states/eV per cell

Cell: 6.848 6.848 6.848 Å, 90.00 90.00 90.00°
Element x y z (fractional)
Dy 0.000 0.000 0.000
Dy 0.000 0.500 0.500
Dy 0.500 0.000 0.500
Dy 0.500 0.500 0.000
Cu 0.250 0.250 0.750
Cu 0.250 0.750 0.250
Cu 0.750 0.250 0.250
Cu 0.750 0.750 0.750
Hg 0.000 0.000 0.500
Hg 0.000 0.500 0.000
Hg 0.500 0.000 0.000
Hg 0.500 0.500 0.500
Au 0.250 0.250 0.250
Au 0.250 0.750 0.750
Au 0.750 0.250 0.750
Au 0.750 0.750 0.250

=====

(3)
Material: BeNbGa
Method: DFT, PBE-GGA
State: relaxed

Results
space-group type = C2/m
energy of formation from the pure elements = -0.3645 eV per atom
total magnetic moment = 0.000 μB per cell
calculated total energy = -71.665 eV/cell
Fermi-level density of states = 1.929 states/eV per cell
energy above the lowest structure with this stoichiometry = 0.000 eV/atom

Cell: 9.322 3.627 6.216 Å, 90.00 128.99 90.00°
Element x y z (fractional)
Be 0.138 0.000 0.175
Be 0.362 0.500 0.825
Be 0.638 0.500 0.175
Be 0.862 0.000 0.825
Nb 0.078 0.500 0.835
Nb 0.422 0.000 0.165
Nb 0.578 0.000 0.835
Nb 0.922 0.500 0.165
Ga 0.173 0.000 0.594
Ga 0.327 0.500 0.406
Ga 0.673 0.500 0.594
Ga 0.827 0.000 0.406